Entry 1:
LuHfCoPt | Alexandria via LeMat-Bulk | GGA-PBE | relaxed; space-group type = F-43m (216); total magnetic moment = 0.5 μB/cell; formation energy = -0.70 eV per atom
1.0
4.667 0.000 0.000
2.334 4.042 0.000
2.334 1.347 3.811
Lu Co Hf Pt
1 1 1 1
Direct
0.500 0.500 0.500 Lu
0.750 0.750 0.750 Co
0.000 0.000 0.000 Hf
0.250 0.250 0.250 Pt

---

Entry 2:
LiCrCo4 | Alexandria via LeMat-Bulk | GGA-PBE | relaxed; space-group type = F-43m (216); total magnetic moment = 9.1 μB/cell; formation energy = 0.27 eV per atom
1.0
-3.246 0.861 3.297
-4.452 -1.371 -0.667
-1.776 -3.544 2.536
Li Co Cr
1 4 1
Direct
0.000 0.000 0.000 Li
0.375 0.375 0.375 Co
0.875 0.375 0.375 Co
0.375 0.375 0.875 Co
0.375 0.875 0.375 Co
0.750 0.750 0.750 Cr

---

Entry 3:
Cd2TcMo | Alexandria via LeMat-Bulk | GGA-PBE | relaxed; space-group type = I-42d (122); total magnetic moment = 2.1 μB/cell; formation energy = 1.08 eV per atom; polymorph energy (0 for the lowest one) = 899 meV per atom
1.0
-0.735 -7.206 -2.361
6.386 -1.867 3.710
1.397 -5.103 2.849
Tc Cd Mo
2 4 2
Direct
0.750 0.250 0.500 Tc
0.000 0.000 0.000 Tc
0.375 0.370 0.750 Cd
0.120 0.625 0.250 Cd
0.875 0.880 0.750 Cd
0.630 0.125 0.250 Cd
0.250 0.750 0.500 Mo
0.500 0.500 0.000 Mo

---

Entry 4:
BeRe2W | Alexandria via LeMat-Bulk | GGA-PBE | relaxed; space-group type = I4/mmm (139); total magnetic moment = 0.0 μB/cell; formation energy = 0.23 eV per atom
1.0
4.701 0.000 0.000
1.545 4.440 0.000
-3.123 -2.220 2.724
Re Be W
2 1 1
Direct
0.500 0.500 0.000 Re
0.000 0.000 0.000 Re
0.750 0.250 0.500 Be
0.250 0.750 0.500 W

---

Entry 5:
Rb3TeF | Alexandria via LeMat-Bulk | GGA-PBE | relaxed; space-group type = Cmcm (63); total magnetic moment = 0.0 μB/cell; polymorph energy (0 for the lowest one) = 217 meV per atom
1.0
5.456 6.739 -5.541
-5.629 0.065 8.614
5.716 -1.547 3.747
Te F Rb
2 2 6
Direct
0.653 0.347 0.750 Te
0.347 0.653 0.250 Te
0.902 0.098 0.750 F
0.098 0.902 0.250 F
0.000 0.000 0.000 Rb
0.000 0.000 0.500 Rb
0.452 0.078 0.250 Rb
0.922 0.548 0.250 Rb
0.078 0.452 0.750 Rb
0.548 0.922 0.750 Rb

---

Entry 6:
K2HfMnSe5 | Alexandria via LeMat-Bulk | GGA-PBE | relaxed; raw total energy = -5.280 eV/atom; space-group type = Cmc2_1 (36); total magnetic moment = 6.0 μB/cell
1.0
-0.824 0.558 -3.864
-6.763 -6.818 2.518
-8.953 10.127 3.374
Se K Hf Mn
10 4 2 2
Direct
0.323 0.647 0.002 Se
0.517 0.034 0.777 Se
0.315 0.630 0.395 Se
0.313 0.627 0.660 Se
0.677 0.353 0.502 Se
0.687 0.373 0.160 Se
0.685 0.370 0.895 Se
0.051 0.102 0.015 Se
0.949 0.898 0.515 Se
0.483 0.966 0.277 Se
0.118 0.235 0.333 K
0.859 0.719 0.185 K
0.882 0.765 0.833 K
0.141 0.281 0.685 K
0.802 0.604 0.535 Hf
0.198 0.396 0.035 Hf
0.434 0.868 0.422 Mn
0.566 0.132 0.922 Mn

---

Entry 7:
Ta2Ru2Au | Alexandria via LeMat-Bulk | GGA-PBE | relaxed; space-group type = P4/mbm (127); total magnetic moment = 0.0 μB/cell; formation energy = -0.02 eV per atom; polymorph energy (0 for the lowest one) = 158 meV per atom
1.0
7.616 0.000 0.000
0.000 7.616 0.000
0.000 0.000 2.973
Ru Ta Au
4 4 2
Direct
0.145 0.645 0.500 Ru
0.645 0.855 0.500 Ru
0.855 0.355 0.500 Ru
0.355 0.145 0.500 Ru
0.147 0.353 0.000 Ta
0.353 0.853 0.000 Ta
0.647 0.147 0.000 Ta
0.853 0.647 0.000 Ta
0.000 0.000 0.000 Au
0.500 0.500 0.000 Au

---

Entry 8:
Zr2IrAu | Alexandria via LeMat-Bulk | GGA-PBE | relaxed; space-group type = C2/m (12); total magnetic moment = 0.0 μB/cell; formation energy = -0.44 eV per atom
1.0
-1.961 3.065 1.756
-3.744 -0.078 1.518
1.020 -1.081 6.635
Ir Zr Au
1 2 1
Direct
0.250 0.250 0.250 Ir
0.992 0.992 0.030 Zr
0.508 0.508 0.470 Zr
0.750 0.750 0.750 Au

---

Entry 9:
LaSmHgOs | Alexandria via LeMat-Bulk | GGA-PBE | relaxed; space-group type = F-43m (216); total magnetic moment = 0.0 μB/cell; formation energy = -0.15 eV per atom
1.0
5.193 0.000 0.000
2.597 4.498 0.000
2.597 1.499 4.240
Os Sm Hg La
1 1 1 1
Direct
0.750 0.750 0.750 Os
0.000 0.000 0.000 Sm
0.250 0.250 0.250 Hg
0.500 0.500 0.500 La

---

Entry 10:
RbOsRh3 | Alexandria via LeMat-Bulk | GGA-PBE | relaxed; space-group type = Pm-3m (221); total magnetic moment = 0.0 μB/cell; formation energy = 1.01 eV per atom; polymorph energy (0 for the lowest one) = 0 meV per atom
1.0
-3.506 2.619 2.052
-2.607 -0.309 -4.059
-2.068 -4.051 1.636
Rb Rh Os
1 3 1
Direct
0.500 0.500 0.500 Rb
0.000 0.500 0.000 Rh
0.500 0.000 0.000 Rh
0.000 0.000 0.500 Rh
0.000 0.000 0.000 Os